Computed, not measured: a geometry-optimized Dy3Tl4Cd structure at the PBE level of DFT.

```
8
Lattice="-2.186 -1.718 2.115 6.802 0.038 7.064 -4.648 6.553 -2.367" Properties=species:S:1:pos:R:3 pbc="T T T"
Tl -0.109 4.269 3.355
Tl 0.078 0.605 3.457
Tl 3.348 0.623 6.853
Tl -3.379 4.251 -0.041
Dy 3.401 0.019 3.532
Dy -1.023 2.497 0.971
Cd -1.093 -0.859 1.057
Dy 0.991 2.377 5.840
```

Values from the calculation:
total moment = 0.0000 μB per atom
total DFT energy (no corrections) = -25.527 eV/f.u.
ΔH_f (0 K) = -1.340 eV/f.u.